# PBE MgSn, optimized geometry
data_MgSn
_cell_length_a 3.3792
_cell_length_b 3.3792
_cell_length_c 14.6755
_cell_angle_alpha 90.00
_cell_angle_beta 90.00
_cell_angle_gamma 120.00
_symmetry_space_group_name_H-M 'R -3 m'
_symmetry_Int_Tables_number 166
_symmetry_space_group_name_Hall '-R 3 2"'
loop_
_atom_site_label
_atom_site_type_symbol
_atom_site_fract_x
_atom_site_fract_y
_atom_site_fract_z
Mg1 Mg 0.0000 0.0000 0.0000
Sn1 Sn 0.0000 0.0000 0.5000
# **E_tot**: -2.9343 eV per atom
# **Energy of formation**: -0.136 eV per atom

***

# PBE MgSn2, optimized geometry
data_MgSn2
_cell_length_a 9.6701
_cell_length_b 5.8053
_cell_length_c 7.2547
_cell_angle_alpha 90.00
_cell_angle_beta 131.57
_cell_angle_gamma 90.00
_symmetry_space_group_name_H-M 'C 1 2/c 1'
_symmetry_Int_Tables_number 15
loop_
_symmetry_equiv_pos_as_xyz
'x,y,z'
'-x,-y,-z'
'-x,y,-z+1/2'
'x,-y,z+1/2'
'x+1/2,y+1/2,z'
'-x+1/2,-y+1/2,-z'
'-x+1/2,y+1/2,-z+1/2'
'x+1/2,-y+1/2,z+1/2'
loop_
_atom_site_label
_atom_site_type_symbol
_atom_site_fract_x
_atom_site_fract_y
_atom_site_fract_z
Mg1 Mg 0.0000 0.1236 0.2500
Sn1 Sn 0.1671 0.3727 0.7482
# **E_tot**: -3.2484 eV per atom
# **Energy of formation**: -0.048 eV per atom

***

# PBE MgSn, optimized geometry
data_MgSn
_cell_length_a 9.0765
_cell_length_b 9.0765
_cell_length_c 9.0765
_cell_angle_alpha 90.00
_cell_angle_beta 90.00
_cell_angle_gamma 90.00
_symmetry_space_group_name_H-M 'I -4 3 m'
_symmetry_Int_Tables_number 217
_symmetry_space_group_name_Hall 'I -4 2 3'
loop_
_atom_site_label
_atom_site_type_symbol
_atom_site_fract_x
_atom_site_fract_y
_atom_site_fract_z
Mg1 Mg 0.1903 0.1903 0.1903
Sn1 Sn 0.1263 0.1263 0.8737
# **E_tot**: -2.3938 eV per atom
# **Energy of formation**: 0.405 eV per atom

***

# PBE SrMgSn3, optimized geometry
data_SrMgSn3
_cell_length_a 6.0381
_cell_length_b 6.0381
_cell_length_c 6.0381
_cell_angle_alpha 90.00
_cell_angle_beta 90.00
_cell_angle_gamma 90.00
_symmetry_space_group_name_H-M 'P m -3 m'
_symmetry_Int_Tables_number 221
_symmetry_space_group_name_Hall '-P 4 2 3'
loop_
_atom_site_label
_atom_site_type_symbol
_atom_site_fract_x
_atom_site_fract_y
_atom_site_fract_z
Sr1 Sr 0.0000 0.0000 0.0000
Mg1 Mg 0.5000 0.5000 0.5000
Sn1 Sn 0.0000 0.0000 0.5000
# **E_tot**: -2.2216 eV per atom
# **Energy of formation**: 0.835 eV per atom

***

# PBE SrMg6Sn, optimized geometry
data_SrMg6Sn
_cell_length_a 4.9830
_cell_length_b 6.4133
_cell_length_c 13.4072
_cell_angle_alpha 90.00
_cell_angle_beta 90.00
_cell_angle_gamma 90.00
_symmetry_space_group_name_H-M 'A m m 2'
_symmetry_Int_Tables_number 38
loop_
_symmetry_equiv_pos_as_xyz
'x,y,z'
'-x,-y,z'
'-x,y,z'
'x,-y,z'
'x,y+1/2,z+1/2'
'-x,-y+1/2,z+1/2'
'-x,y+1/2,z+1/2'
'x,-y+1/2,z+1/2'
loop_
_atom_site_label
_atom_site_type_symbol
_atom_site_fract_x
_atom_site_fract_y
_atom_site_fract_z
Sr1 Sr 0.0000 0.0000 0.0000
Mg1 Mg 0.0000 0.0000 0.4315
Mg2 Mg 0.0000 0.2345 0.7306
Mg3 Mg 0.5000 0.0000 0.5888
Mg4 Mg 0.5000 0.2463 0.8635
Sn1 Sn 0.5000 0.0000 0.1688
# **E_tot**: -1.9660 eV per atom
# **Energy of formation**: -0.059 eV per atom

***

# PBE Sr2Mg5Sn3, optimized geometry
data_Sr2Mg5Sn3
_cell_length_a 4.7810
_cell_length_b 4.7810
_cell_length_c 13.0253
_cell_angle_alpha 90.00
_cell_angle_beta 90.00
_cell_angle_gamma 90.00
_symmetry_space_group_name_H-M 'P -4 m 2'
_symmetry_Int_Tables_number 115
loop_
_symmetry_equiv_pos_as_xyz
'x,y,z'
'y,-x,-z'
'-x,-y,z'
'-y,x,-z'
'-x,y,z'
'-y,-x,-z'
'x,-y,z'
'y,x,-z'
loop_
_atom_site_label
_atom_site_type_symbol
_atom_site_fract_x
_atom_site_fract_y
_atom_site_fract_z
Sr1 Sr 0.0000 0.5000 0.2454
Mg1 Mg 0.0000 0.0000 0.5000
Mg2 Mg 0.0000 0.5000 0.6402
Mg3 Mg 0.5000 0.5000 0.0000
Mg4 Mg 0.5000 0.5000 0.5000
Sn1 Sn 0.0000 0.0000 0.0000
Sn2 Sn 0.0000 0.5000 0.8588
# **E_tot**: -2.5344 eV per atom
# **Energy of formation**: -0.200 eV per atom

***

# PBE SrMgSn2, optimized geometry
data_SrMgSn2
_cell_length_a 4.8827
_cell_length_b 4.8827
_cell_length_c 4.6751
_cell_angle_alpha 90.00
_cell_angle_beta 90.00
_cell_angle_gamma 90.00
_symmetry_space_group_name_H-M 'P 4/m m m'
_symmetry_Int_Tables_number 123
_symmetry_space_group_name_Hall '-P 4 2'
loop_
_atom_site_label
_atom_site_type_symbol
_atom_site_fract_x
_atom_site_fract_y
_atom_site_fract_z
Sr1 Sr 0.0000 0.0000 0.0000
Mg1 Mg 0.5000 0.5000 0.0000
Sn1 Sn 0.0000 0.5000 0.5000
# **E_tot**: -3.2052 eV per atom
# **Energy of formation**: -0.385 eV per atom

***

# PBE SrMgSn6, optimized geometry
data_SrMgSn6
_cell_length_a 4.9064
_cell_length_b 7.8968
_cell_length_c 11.9253
_cell_angle_alpha 90.00
_cell_angle_beta 90.00
_cell_angle_gamma 90.00
_symmetry_space_group_name_H-M 'A m m 2'
_symmetry_Int_Tables_number 38
loop_
_symmetry_equiv_pos_as_xyz
'x,y,z'
'-x,-y,z'
'-x,y,z'
'x,-y,z'
'x,y+1/2,z+1/2'
'-x,-y+1/2,z+1/2'
'-x,y+1/2,z+1/2'
'x,-y+1/2,z+1/2'
loop_
_atom_site_label
_atom_site_type_symbol
_atom_site_fract_x
_atom_site_fract_y
_atom_site_fract_z
Sr1 Sr 0.0000 0.0000 0.0000
Mg1 Mg 0.5000 0.0000 0.7364
Sn1 Sn 0.0000 0.0000 0.5400
Sn2 Sn 0.0000 0.2457 0.7494
Sn3 Sn 0.5000 0.0000 0.2040
Sn4 Sn 0.5000 0.2032 0.4269
# **E_tot**: -3.5934 eV per atom
# **Energy of formation**: -0.182 eV per atom

***

# PBE SrMg3Sn2, optimized geometry
data_SrMg3Sn2
_cell_length_a 18.3237
_cell_length_b 4.6504
_cell_length_c 8.7779
_cell_angle_alpha 90.00
_cell_angle_beta 116.90
_cell_angle_gamma 90.00
_symmetry_space_group_name_H-M 'C 1 2/m 1'
_symmetry_Int_Tables_number 12
loop_
_symmetry_equiv_pos_as_xyz
'x,y,z'
'-x,-y,-z'
'-x,y,-z'
'x,-y,z'
'x+1/2,y+1/2,z'
'-x+1/2,-y+1/2,-z'
'-x+1/2,y+1/2,-z'
'x+1/2,-y+1/2,z'
loop_
_atom_site_label
_atom_site_type_symbol
_atom_site_fract_x
_atom_site_fract_y
_atom_site_fract_z
Sr1 Sr 0.1420 0.0000 0.0566
Mg1 Mg 0.0480 0.0000 0.3934
Mg2 Mg 0.0945 0.5000 0.6722
Mg3 Mg 0.1851 0.5000 0.4548
Sn1 Sn 0.0149 0.5000 0.1773
Sn2 Sn 0.2067 0.0000 0.7105
# **E_tot**: -2.7640 eV per atom
# **Energy of formation**: -0.352 eV per atom

***

# PBE SrMgSn, optimized geometry
data_SrMgSn
_cell_length_a 4.9452
_cell_length_b 4.9452
_cell_length_c 4.4681
_cell_angle_alpha 90.00
_cell_angle_beta 90.00
_cell_angle_gamma 120.00
_symmetry_space_group_name_H-M 'P -6 m 2'
_symmetry_Int_Tables_number 187
_symmetry_space_group_name_Hall 'P -6 2'
loop_
_atom_site_label
_atom_site_type_symbol
_atom_site_fract_x
_atom_site_fract_y
_atom_site_fract_z
Sr1 Sr 0.0000 0.0000 0.0000
Mg1 Mg 0.3333 0.6667 0.5000
Sn1 Sn 0.6667 0.3333 0.5000
# **E_tot**: -2.8639 eV per atom
# **Energy of formation**: -0.438 eV per atom

***

# PBE SrMg3Sn2, optimized geometry
data_SrMg3Sn2
_cell_length_a 19.0463
_cell_length_b 4.6110
_cell_length_c 11.6348
_cell_angle_alpha 90.00
_cell_angle_beta 104.68
_cell_angle_gamma 90.00
_symmetry_space_group_name_H-M 'C 1 2/m 1'
_symmetry_Int_Tables_number 12
loop_
_symmetry_equiv_pos_as_xyz
'x,y,z'
'-x,-y,-z'
'-x,y,-z'
'x,-y,z'
'x+1/2,y+1/2,z'
'-x+1/2,-y+1/2,-z'
'-x+1/2,y+1/2,-z'
'x+1/2,-y+1/2,z'
loop_
_atom_site_label
_atom_site_type_symbol
_atom_site_fract_x
_atom_site_fract_y
_atom_site_fract_z
Sr1 Sr 0.0000 0.0000 0.0000
Sr2 Sr 0.1562 0.0000 0.7052
Mg1 Mg 0.0000 0.5000 0.5000
Mg2 Mg 0.0412 0.0000 0.3534
Mg3 Mg 0.1221 0.5000 0.2097
Mg4 Mg 0.1756 0.5000 0.9717
Mg5 Mg 0.2112 0.0000 0.3872
Sn1 Sn 0.0345 0.5000 0.7903
Sn2 Sn 0.1436 0.5000 0.4707
Sn3 Sn 0.1977 0.0000 0.1329
# **E_tot**: -2.7803 eV per atom
# **Energy of formation**: -0.368 eV per atom

***

# PBE SrMgSn3, optimized geometry
data_SrMgSn3
_cell_length_a 12.2823
_cell_length_b 7.0968
_cell_length_c 6.8789
_cell_angle_alpha 90.00
_cell_angle_beta 90.06
_cell_angle_gamma 90.00
_symmetry_space_group_name_H-M 'C 1 2/m 1'
_symmetry_Int_Tables_number 12
loop_
_symmetry_equiv_pos_as_xyz
'x,y,z'
'-x,-y,-z'
'-x,y,-z'
'x,-y,z'
'x+1/2,y+1/2,z'
'-x+1/2,-y+1/2,-z'
'-x+1/2,y+1/2,-z'
'x+1/2,-y+1/2,z'
loop_
_atom_site_label
_atom_site_type_symbol
_atom_site_fract_x
_atom_site_fract_y
_atom_site_fract_z
Sr1 Sr 0.1669 0.0000 0.2500
Mg1 Mg 0.0000 0.5000 0.0000
Mg2 Mg 0.0000 0.5000 0.5000
Sn1 Sn 0.0982 0.2051 0.7501
Sn2 Sn 0.1966 0.5000 0.2504
# **E_tot**: -3.3412 eV per atom
# **Energy of formation**: -0.284 eV per atom

***

# PBE SrMgSn, optimized geometry
data_SrMgSn
_cell_length_a 3.7439
_cell_length_b 3.7439
_cell_length_c 12.9847
_cell_angle_alpha 90.00
_cell_angle_beta 90.00
_cell_angle_gamma 90.00
_symmetry_space_group_name_H-M 'I 4 m m'
_symmetry_Int_Tables_number 107
_symmetry_space_group_name_Hall 'I 4 -2'
loop_
_atom_site_label
_atom_site_type_symbol
_atom_site_fract_x
_atom_site_fract_y
_atom_site_fract_z
Sr1 Sr 0.0000 0.0000 0.0000
Mg1 Mg 0.0000 0.0000 0.6924
Sn1 Sn 0.0000 0.0000 0.3188
# **E_tot**: -2.7015 eV per atom
# **Energy of formation**: -0.275 eV per atom